Record 1
A plane-wave DFT calculation with PBE-GGA was carried out for crystalline Tl3RuO7 at its relaxed geometry.

Cell lengths 6.6678, 6.6678, 7.3138 Å; angles 90.00, 90.00, 108.93 degrees
Element x y z (fractional)
O (0.3076, 0.0473, 0.0000)
O (0.0473, 0.3076, 0.0000)
Tl (0.5000, 0.0000, 0.7500)
Tl (0.0000, 0.5000, 0.2500)
Ru (0.0046, 0.0046, 0.0000)
Tl (0.0000, 0.5000, 0.7500)
O (0.9294, 0.6810, 0.0000)
O (0.3656, 0.6344, 0.2500)
Tl (0.4607, 0.4607, 0.5000)
O (0.3656, 0.6344, 0.7500)
Ru (0.9954, 0.9954, 0.5000)
O (0.3190, 0.0706, 0.5000)
O (0.6344, 0.3656, 0.2500)
O (0.0706, 0.3190, 0.5000)
O (0.6810, 0.9294, 0.0000)
O (0.6344, 0.3656, 0.7500)
O (0.0000, 0.0000, 0.7500)
O (0.9527, 0.6924, 0.5000)
O (0.0000, 0.0000, 0.2500)
Tl (0.5393, 0.5393, 0.0000)
O (0.6924, 0.9527, 0.5000)
Tl (0.5000, 0.0000, 0.2500)

Results
N(E_F) = 0.315 states/eV per atom
Volume = 307.6 Å³/cell
VASP energy = -59.11 eV per formula unit
E_form (uncorrected) = -0.730 eV per atom

Record 2
A plane-wave DFT calculation with PBE-GGA was carried out for crystalline TiTlHg2 at its relaxed geometry.

Cell lengths 8.0153, 8.0153, 6.4210 Å; angles 51.38, 51.38, 90.00 degrees
Element x y z (fractional)
Hg (0.6013, 0.1250, 0.2500)
Hg (0.8750, 0.8513, 0.7500)
Ti (0.2500, 0.7500, 0.5000)
Hg (0.1487, 0.6250, 0.2500)
Ti (0.5000, 0.5000, 0.0000)
Tl (0.0000, 0.0000, 0.0000)
Tl (0.7500, 0.2500, 0.5000)
Hg (0.3750, 0.3987, 0.7500)

Results
N(E_F) = 0.287 states/eV per atom
Energy relative to the elements = 105 kJ/mol of formula units
Volume = 193.9 Å³/cell
VASP energy = -9.77 eV per formula unit

Record 3
A plane-wave DFT calculation with PBE-GGA was carried out for crystalline ScTc2Pb at its relaxed geometry.

Cell lengths 5.4128, 5.4128, 5.4128 Å; angles 143.52, 129.46, 63.92 degrees
Element x y z (fractional)
Tc (0.5103, 0.5103, 0.0000)
Pb (0.2500, 0.7500, 0.5000)
Tc (0.9897, 0.9897, 0.0000)
Sc (0.7500, 0.2500, 0.5000)

Results
N(E_F) = 1.088 states/eV per atom
Energy relative to the elements = 113 kJ/mol of formula units
Volume = 71.9 Å³/cell
ΔE to the lowest computed polymorph = 307.5 meV/atom
VASP energy = -29.61 eV per formula unit

Record 4
A plane-wave DFT calculation with PBE-GGA was carried out for crystalline Er3Ga2Pd7 at its relaxed geometry.

Cell lengths 3.9490, 4.1457, 13.8413 Å; angles 98.61, 90.00, 90.00 degrees
Element x y z (fractional)
Pd (0.0000, 0.0000, 0.0000)
Ga (0.0000, 0.1306, 0.2612)
Pd (0.0000, 0.7801, 0.5603)
Er (0.5000, 0.5000, 0.0000)
Pd (0.0000, 0.5793, 0.1585)
Er (0.5000, 0.3167, 0.6335)
Er (0.5000, 0.6833, 0.3665)
Pd (0.5000, 0.9234, 0.8468)
Ga (0.0000, 0.8694, 0.7388)
Pd (0.5000, 0.0766, 0.1532)
Pd (0.0000, 0.4207, 0.8415)
Pd (0.0000, 0.2199, 0.4397)

Results
N(E_F) = 0.508 states/eV per atom
Energy relative to the elements = -970 kJ/mol of formula units
Volume = 224.0 Å³/cell
VASP energy = -66.15 eV per formula unit